Computed, not measured: a PBEsol-optimized structure of Er6NiI10 at the meta-GGA SCAN level of DFT.

a = 7.446 Å, b = 9.336 Å, c = 9.353 Å
α = 107.12°, β = 96.91°, γ = 104.72°
Space group P-1 (No. 2)
Unique sites:
Er 0.031 0.218 0.415 (multiplicity 2)
Er 0.113 0.540 0.262 (multiplicity 2)
Er 0.343 0.621 0.662 (multiplicity 2)
Ni 0.000 0.500 0.500 (multiplicity 1)
I 0.087 0.876 0.315 (multiplicity 2)
I 0.226 0.239 0.148 (multiplicity 2)
I 0.264 0.590 0.968 (multiplicity 2)
I 0.358 0.958 0.776 (multiplicity 2)
I 0.452 0.310 0.595 (multiplicity 2)

Computed properties:
For the mass density, the calculation gives 6589 kg/m3. The total energy is -41.630 eV per atom. For the uncorrected formation energy, the calculation gives -22.1 eV per formula unit.

---

Computed, not measured: a PBEsol-optimized structure of SnSb2As2F18 at the meta-GGA SCAN level of DFT.

a = 6.036 Å, b = 11.772 Å, c = 10.714 Å
α = 90.00°, β = 90.16°, γ = 90.00°
Space group Pc (No. 7)
Unique sites:
Sn 0.000 0.137 0.000 (multiplicity 2)
Sb 0.494 0.019 0.264 (multiplicity 2)
Sb 0.494 0.391 0.976 (multiplicity 2)
As 0.133 0.347 0.309 (multiplicity 2)
As 0.893 0.258 0.631 (multiplicity 2)
F 0.067 0.244 0.187 (multiplicity 2)
F 0.156 0.318 0.617 (multiplicity 2)
F 0.228 0.029 0.848 (multiplicity 2)
F 0.235 0.479 0.945 (multiplicity 2)
F 0.310 0.256 0.959 (multiplicity 2)
F 0.321 0.057 0.119 (multiplicity 2)
F 0.427 0.389 0.150 (multiplicity 2)
F 0.450 0.166 0.332 (multiplicity 2)
F 0.533 0.129 0.698 (multiplicity 2)
F 0.563 0.381 0.805 (multiplicity 2)
F 0.670 0.024 0.906 (multiplicity 2)
F 0.676 0.481 0.499 (multiplicity 2)
F 0.736 0.287 0.013 (multiplicity 2)
F 0.754 0.072 0.180 (multiplicity 2)
F 0.906 0.295 0.399 (multiplicity 2)
F 0.947 0.218 0.793 (multiplicity 2)
F 0.975 0.452 0.236 (multiplicity 2)
F 0.978 0.123 0.577 (multiplicity 2)

Computed properties:
Its density of states at the Fermi level is 0.00 states/eV/cell. For the mass density, the calculation gives 3725 kg/m3. The total energy is -11.654 eV per atom. For the uncorrected formation energy, the calculation gives -53.5 eV per formula unit.

---

Computed, not measured: a PBEsol-optimized structure of AlFe2BiO at the meta-GGA SCAN level of DFT.

a = 4.436 Å, b = 4.436 Å, c = 3.599 Å
α = 90.00°, β = 90.00°, γ = 90.00°
Space group P4/mmm (No. 123)
Unique sites:
Al 0.000 0.000 0.000 (multiplicity 1)
Fe 0.000 0.500 0.500 (multiplicity 2)
Bi 0.500 0.500 0.000 (multiplicity 1)
O 0.000 0.000 0.500 (multiplicity 1)

Computed properties:
Its density of states at the Fermi level is 1.72 states/eV/cell. For the mass density, the calculation gives 8529 kg/m3. The total energy is -25.988 eV per atom. For the uncorrected formation energy, the calculation gives -1.1 eV per formula unit.